VASP calculation (PBE+U) on crystalline MgCoH2I2O2 at its relaxed geometry.

Structure (POSCAR):
```
MgCoH2I2O2
1.0
-3.623 0.392 -0.351
1.384 -1.652 2.960
0.550 9.717 5.164
I O H Mg Co
2 2 2 1 1
direct
0.667 0.333 0.848 I
0.000 0.000 0.340 I
0.333 0.667 0.079 O
0.333 0.667 0.584 O
0.333 0.667 0.169 H
0.333 0.667 0.674 H
0.667 0.333 0.525 Mg
0.000 0.000 0.022 Co
```

Summary:
The final energy comes out at -33.978 eV/cell. As for the size of the total moment: 0.375 μB per atom. The space group is P3m1, No. 156.